No. 1
Entry from the Alexandria database: BaSr2 at its PBEsol-relaxed geometry (meta-GGA SCAN).

```
BaSr2
1.0
-3.3495 2.5562 -0.2965
-0.0928 -2.7161 7.7161
6.1280 8.0426 0.1115
Sr Ba
4 2
Cartesian
4.1908 6.0351 4.6870
-1.5050 1.8476 2.8441
1.6228 2.7630 5.4871
1.0630 5.1198 2.0440
4.8311 6.3909 0.5217
-2.1453 1.4919 7.0094
```

Output
Formation enthalpy at 0 K ... -0.01 eV/atom
Uncorrected energy ... -28.044 eV/atom
Total moment ... 0.2 μB per formula unit
Volume ... 54.176 Å³/atom

***

No. 2
Entry from the Alexandria database: Ca2LaSe at its PBEsol-relaxed geometry (meta-GGA SCAN).

```
Ca2LaSe
1.0
-2.5233 3.7015 0.4000
-3.6202 -2.5522 0.7799
4.2256 -0.4212 5.2680
Ca La Se
2 1 1
Cartesian
-0.6847 1.9275 3.1290
-1.2332 -1.1993 3.3190
-3.0717 0.5747 0.5900
0.0000 0.0000 0.0000
```

Output
Uncorrected energy ... -21.210 eV/atom
Formation energy (no corrections) ... -0.582 eV per atom
Total moment ... 0.0 μB per formula unit
Volume ... 30.203 Å³/atom